SrTmAg4: relaxed, PBE-GGA.

Results
* formation energy: -0.12 eV per atom
* mass density: 8.26 Mg/m³
* V: 23.06 Å³/atom
* E_tot: -0.224 Ry/atom

abc: 8.2106 8.2106 8.2106
angles: 90.00 90.00 90.00
With the nearest neighbours (Å) after each atom.
Space group F-43m (No. 216)
Asymmetric unit:
Sr: 0.0000 0.0000 0.0000 [4 per cell]  12 Ag 3.41, 4 Tm 3.56
Tm: 0.2500 0.2500 0.2500 [4 per cell]  12 Ag 3.40, 4 Sr 3.56
Ag: 0.1246 0.1246 0.6246 [16 per cell]  6 Ag 2.89-2.91


SrTmAg2: relaxed, PBE-GGA.

Results
* formation energy: -0.23 eV per atom
* mass density: 7.55 Mg/m³
* V: 25.98 Å³/atom
* E_tot: -0.235 Ry/atom
* E above lowest polymorph: 1.32 kcal/mol of atoms

abc: 5.3414 5.3414 3.6430
angles: 90.00 90.00 90.00
With the nearest neighbours (Å) after each atom.
Space group P4/mmm (No. 123)
Asymmetric unit:
Sr: 0.0000 0.0000 0.0000 [1 per cell]  8 Ag 3.23
Tm: 0.5000 0.5000 0.0000 [1 per cell]  8 Ag 3.23
Ag: 0.0000 0.5000 0.5000 [2 per cell]  4 Tm 3.23, 4 Sr 3.23